--- A ---
Material: Nd6DyMg2
Method: DFT, PBE
State: relaxed

Properties
- ρ (Mg/m³) = 6.0
- spin magnetization (μB/atom) = 0.00
- DOS at the Fermi energy (states/eV/cell) = 23.11

Geometry as extended XYZ:
```
18
Lattice="9.643 -5.915 0.000 9.643 5.915 0.000 0.000 0.000 5.195" Properties=species:S:1:pos:R:3 pbc="T T T"
Nd 1.675 1.023 1.299
Nd 17.611 -1.023 3.896
Nd 6.072 3.536 1.299
Nd 1.675 -1.023 3.896
Nd 7.738 1.306 3.896
Nd 13.214 3.536 1.299
Nd 11.549 1.306 3.896
Nd 7.738 -1.306 1.299
Nd 6.072 -3.536 3.896
Nd 11.549 -1.306 1.299
Nd 17.611 1.023 1.299
Nd 13.214 -3.536 3.896
Dy 9.643 3.021 1.299
Dy 9.643 -3.021 3.896
Mg 5.004 0.613 1.299
Mg 5.004 -0.613 3.896
Mg 14.282 0.613 1.299
Mg 14.282 -0.613 3.896
```

---

--- B ---
Material: Nd6DyMg2
Method: DFT, PBE
State: relaxed

Properties
- ρ (Mg/m³) = 6.2
- spin magnetization (μB/atom) = 0.00
- DOS at the Fermi energy (states/eV/cell) = 11.83

Geometry as extended XYZ:
```
9
Lattice="3.093 -5.311 0.000 3.093 5.311 0.000 0.000 0.000 8.822" Properties=species:S:1:pos:R:3 pbc="T T T"
Nd 1.586 0.899 5.855
Nd 3.093 3.465 0.000
Nd 1.586 -0.899 2.967
Nd 4.600 0.899 2.967
Nd 3.093 -3.465 0.000
Nd 4.600 -0.899 5.855
Dy 3.093 0.000 0.000
Mg 1.546 2.656 2.905
Mg 1.546 -2.656 5.917
```

---

B takes first place; second place is 32 meV per atom up.